[1]
The following is a DFT calculation (PBEsol) of a relaxed structure of La2CdIr.

Results
Energy (eV per cell): -23.52
Fermi-level density of states (states/eV per cell): 3.73
Total magnetic moment (μB/cell): 0.00
Formation energy from the elements (kJ/mol of formula units): -174
Symmetry: No. 123
ρ (Mg/m³): 9.5

Structure (CIF):
```
data_La2CdIr
_cell_length_a 3.6130
_cell_length_b 3.6130
_cell_length_c 7.7967
_cell_angle_alpha 90.00
_cell_angle_beta 90.00
_cell_angle_gamma 90.00
_symmetry_space_group_name_H-M 'P 1'
_symmetry_Int_Tables_number 1
loop_
_symmetry_equiv_pos_as_xyz
'x,y,z'
loop_
_atom_site_label
_atom_site_type_symbol
_atom_site_fract_x
_atom_site_fract_y
_atom_site_fract_z
_atom_site_occupancy
Cd1 Cd 0.5000 0.5000 0.0000 1
La1 La 0.0000 0.0000 0.7135 1
La2 La 0.0000 0.0000 0.2865 1
Ir1 Ir 0.5000 0.5000 0.5000 1
```



[2]
The following is a DFT calculation (PBEsol) of a relaxed structure of MnBrCl.

Results
Energy (eV per cell): -14.98
Energy relative to the elements, uncorrected (eV/atom): -0.45
Energy above the lowest structure with this stoichiometry (meV per atom): 369
Fermi-level density of states (states/eV per cell): 0.09
Total magnetic moment (μB/cell): 5.00
Symmetry: No. 107
ρ (Mg/m³): 4.2

Structure (CIF):
```
data_MnBrCl
_cell_length_a 3.2760
_cell_length_b 3.2760
_cell_length_c 6.7027
_cell_angle_alpha 104.15
_cell_angle_beta 104.15
_cell_angle_gamma 90.00
_symmetry_space_group_name_H-M 'P 1'
_symmetry_Int_Tables_number 1
loop_
_symmetry_equiv_pos_as_xyz
'x,y,z'
loop_
_atom_site_label
_atom_site_type_symbol
_atom_site_fract_x
_atom_site_fract_y
_atom_site_fract_z
_atom_site_occupancy
Cl1 Cl 0.2877 0.2877 0.5754 1
Br1 Br 0.0409 0.0409 0.0818 1
Mn1 Mn 0.6714 0.6714 0.3428 1
```



[3]
The following is a DFT calculation (PBEsol) of a relaxed structure of YTaBe2.

Results
Energy (eV per cell): -47.74
Energy above the lowest structure with this stoichiometry (meV per atom): 775
Fermi-level density of states (states/eV per cell): 9.73
Total magnetic moment (μB/cell): 0.00
Formation energy from the elements (kJ/mol of formula units): 338
Symmetry: No. 122
ρ (Mg/m³): 6.4

Structure (CIF):
```
data_YTaBe2
_cell_length_a 4.1797
_cell_length_b 4.1797
_cell_length_c 9.1048
_cell_angle_alpha 103.27
_cell_angle_beta 103.27
_cell_angle_gamma 90.00
_symmetry_space_group_name_H-M 'P 1'
_symmetry_Int_Tables_number 1
loop_
_symmetry_equiv_pos_as_xyz
'x,y,z'
loop_
_atom_site_label
_atom_site_type_symbol
_atom_site_fract_x
_atom_site_fract_y
_atom_site_fract_z
_atom_site_occupancy
Ta1 Ta 0.0000 0.0000 0.0000 1
Ta2 Ta 0.2500 0.7500 0.5000 1
Be1 Be 0.1250 0.8229 0.7500 1
Be2 Be 0.6250 0.9271 0.7500 1
Be3 Be 0.0729 0.8750 0.2500 1
Be4 Be 0.1771 0.3750 0.2500 1
Y1 Y 0.5000 0.5000 0.0000 1
Y2 Y 0.7500 0.2500 0.5000 1
```



[4]
The following is a DFT calculation (PBEsol) of a relaxed structure of Ba4P3.

Results
Energy (eV per cell): -264.16
Total magnetic moment (μB/cell): 0.00
Formation energy from the elements (kJ/mol of formula units): -680
Symmetry: No. 55
ρ (Mg/m³): 4.6

Structure (CIF):
```
data_Ba4P3
_cell_length_a 11.2479
_cell_length_b 12.4896
_cell_length_c 13.1638
_cell_angle_alpha 90.00
_cell_angle_beta 90.00
_cell_angle_gamma 90.00
_symmetry_space_group_name_H-M 'P 1'
_symmetry_Int_Tables_number 1
loop_
_symmetry_equiv_pos_as_xyz
'x,y,z'
loop_
_atom_site_label
_atom_site_type_symbol
_atom_site_fract_x
_atom_site_fract_y
_atom_site_fract_z
_atom_site_occupancy
P1 P 0.5000 0.5337 0.9207 1
P2 P 0.0000 0.6371 0.6400 1
P3 P 0.2362 0.8360 0.8208 1
P4 P 0.0000 0.3629 0.3600 1
P5 P 0.0000 0.1371 0.8600 1
P6 P 0.2362 0.1640 0.1792 1
P7 P 0.1014 0.5000 0.0000 1
P8 P 0.2362 0.3360 0.6792 1
P9 P 0.5000 0.8629 0.1133 1
P10 P 0.8986 0.5000 0.0000 1
P11 P 0.7638 0.1640 0.1792 1
P12 P 0.5000 0.3629 0.3867 1
P13 P 0.8986 0.0000 0.5000 1
P14 P 0.1014 0.0000 0.5000 1
P15 P 0.2362 0.6640 0.3208 1
P16 P 0.5000 0.6371 0.6133 1
P17 P 0.0000 0.8629 0.1400 1
P18 P 0.5000 0.0337 0.5793 1
P19 P 0.7638 0.3360 0.6792 1
P20 P 0.5000 0.1371 0.8867 1
P21 P 0.5000 0.9663 0.4207 1
P22 P 0.5000 0.4663 0.0793 1
P23 P 0.7638 0.8360 0.8208 1
P24 P 0.7638 0.6640 0.3208 1
Ba1 Ba 0.3183 0.8290 0.5669 1
Ba2 Ba 0.5000 0.6225 0.3716 1
Ba3 Ba 0.0000 0.8934 0.7062 1
Ba4 Ba 0.0000 0.7252 0.9172 1
Ba5 Ba 0.1813 0.0000 0.0000 1
Ba6 Ba 0.3183 0.3290 0.9331 1
Ba7 Ba 0.6817 0.6710 0.0669 1
Ba8 Ba 0.1813 0.5000 0.5000 1
Ba9 Ba 0.2824 0.0965 0.7366 1
Ba10 Ba 0.7176 0.5965 0.7634 1
Ba11 Ba 0.6817 0.1710 0.4331 1
Ba12 Ba 0.6817 0.3290 0.9331 1
Ba13 Ba 0.0000 0.6066 0.2062 1
Ba14 Ba 0.7176 0.0965 0.7366 1
Ba15 Ba 0.3183 0.6710 0.0669 1
Ba16 Ba 0.0000 0.2252 0.5828 1
Ba17 Ba 0.5000 0.8775 0.8716 1
Ba18 Ba 0.0000 0.7748 0.4172 1
Ba19 Ba 0.8187 0.5000 0.5000 1
Ba20 Ba 0.2824 0.4035 0.2366 1
Ba21 Ba 0.2824 0.9035 0.2634 1
Ba22 Ba 0.7176 0.4035 0.2366 1
Ba23 Ba 0.0000 0.1066 0.2938 1
Ba24 Ba 0.2824 0.5965 0.7634 1
Ba25 Ba 0.6817 0.8290 0.5669 1
Ba26 Ba 0.7176 0.9035 0.2634 1
Ba27 Ba 0.5000 0.1225 0.1284 1
Ba28 Ba 0.3183 0.1710 0.4331 1
Ba29 Ba 0.5000 0.3775 0.6284 1
Ba30 Ba 0.8187 0.0000 0.0000 1
Ba31 Ba 0.0000 0.3934 0.7938 1
Ba32 Ba 0.0000 0.2748 0.0828 1
```